A relaxed RbNpBi crystal. Source: the Alexandria database, functional PBE-GGA.

Properties
SG: Immm, No. 71

Structure (POSCAR):
```
RbNpBi
1.0
4.1908 0.0000 0.0000
-2.0954 10.2704 -0.0226
0.0000 1.5139 5.3445
Bi Rb Np
2 2 2
Direct
0.1077 0.2154 0.8923
0.8923 0.7846 0.1077
0.3126 0.6252 0.6874
0.6874 0.3748 0.3126
0.5000 0.0000 0.2498
0.5000 0.0000 0.7502
```

---

A relaxed Tb4GaCu3 crystal. Source: the Alexandria database, functional PBE-GGA.

Properties
SG: Pmm2, No. 25
Energy above the most stable polymorph in this dataset: 13 meV per atom

Structure (POSCAR):
```
Tb4GaCu3
1.0
-2.4730 2.3338 -1.4011
-3.2943 -2.3221 1.9466
0.8502 6.2170 8.8550
Tb Ga Cu
4 1 3
Direct
0.5000 0.5000 0.3634
0.0000 0.5000 0.8479
0.0000 0.0000 0.1486
0.5000 0.0000 0.6379
0.5000 0.5000 0.0735
0.0000 0.5000 0.5697
0.0000 0.0000 0.4318
0.5000 0.0000 0.9271
```

---

A relaxed LaOsS2N crystal. Source: the Alexandria database, functional PBE-GGA.

Properties
SG: P4/mmm, No. 123
Energy above the most stable polymorph in this dataset: 2271 meV per atom
Raw formation energy: 1.54 eV per atom

Structure (POSCAR):
```
LaOsS2N
1.0
5.4574 0.0000 0.0000
0.0000 5.4574 0.0000
0.0000 0.0000 3.8854
S N Os La
2 1 1 1
Direct
0.0000 0.5000 0.0000
0.5000 0.0000 0.0000
0.0000 0.0000 0.5000
0.5000 0.5000 0.5000
0.0000 0.0000 0.0000
```

---

A relaxed La3TlRu crystal. Source: the Alexandria database, functional PBE-GGA.

Properties
SG: C2, No. 5
Energy above the most stable polymorph in this dataset: 77 meV per atom

Structure (POSCAR):
```
La3TlRu
1.0
8.5582 -0.0061 0.0093
-1.6769 6.2985 -0.0118
1.6709 2.6494 5.7166
Ru Tl La
2 2 6
Direct
0.4037 0.8187 0.4426
0.4035 0.2185 0.0428
0.9036 0.7707 0.9906
0.9036 0.2678 0.4937
0.0930 0.8629 0.3971
0.7142 0.1748 0.0883
0.4036 0.0176 0.7435
0.1519 0.3929 0.8689
0.4036 0.5178 0.2437
0.6553 0.6442 0.6167
```

---

A relaxed CsB9O14 crystal. Source: the Alexandria database, functional PBE-GGA.

Properties
SG: P222_1, No. 17
Raw formation energy: -2.43 eV per atom

Structure (POSCAR):
```
CsB9O14
1.0
8.9287 0.0000 0.0000
0.0000 8.9493 0.0000
0.0000 0.0000 16.8611
Cs B O
4 36 56
Direct
0.0210 0.0000 0.5000
0.5000 0.4910 0.2500
0.5000 0.5090 0.7500
0.9790 0.0000 0.0000
0.0939 0.4174 0.1150
0.6540 0.6831 0.5615
0.1711 0.3374 0.3756
0.3162 0.9326 0.1896
0.8289 0.6626 0.8756
0.6838 0.0674 0.6896
0.5821 0.8204 0.4458
0.9055 0.6025 0.1366
0.2320 0.1204 0.2825
0.8289 0.3374 0.1244
0.9061 0.5826 0.6150
0.2320 0.8796 0.7175
0.6099 0.2730 0.0336
0.1924 0.8559 0.3089
0.7680 0.1204 0.2175
0.3460 0.3169 0.0615
0.0945 0.6025 0.3634
0.5821 0.1796 0.5542
0.8076 0.8559 0.1911
0.4179 0.8204 0.0542
0.7680 0.8796 0.7825
0.0945 0.3975 0.6366
0.3901 0.2730 0.4664
0.6540 0.3169 0.4385
0.4179 0.1796 0.9458
0.3162 0.0674 0.8104
0.9055 0.3975 0.8634
0.0939 0.5826 0.8850
0.1711 0.6626 0.6244
0.3460 0.6831 0.9385
0.8076 0.1441 0.8089
0.1924 0.1441 0.6911
0.9061 0.4174 0.3850
0.6099 0.7270 0.9664
0.6838 0.9326 0.3104
0.3901 0.7270 0.5336
0.7534 0.6068 0.6060
0.5668 0.7982 0.0371
0.9912 0.3070 0.1140
0.9442 0.4338 0.6274
0.7534 0.3932 0.3940
0.2450 0.7234 0.5529
0.0088 0.3070 0.3860
0.2971 0.0803 0.2098
0.5038 0.6664 0.5807
0.7550 0.2766 0.0529
0.4962 0.3336 0.0807
0.7550 0.7234 0.9471
0.7710 0.2645 0.1970
0.6945 0.2311 0.5043
0.1760 0.9951 0.6701
0.7272 0.8183 0.2593
0.2290 0.2645 0.3030
0.7958 0.5009 0.8658
0.6168 0.9021 0.3805
0.3055 0.7689 0.0043
0.6168 0.0979 0.6195
0.8240 0.9951 0.8299
0.5668 0.2018 0.9629
0.9912 0.6930 0.8860
0.3832 0.9021 0.1195
0.3832 0.0979 0.8805
0.2290 0.7355 0.6970
0.0558 0.4338 0.8726
0.2042 0.4991 0.3658
0.9442 0.5662 0.3726
0.7029 0.9197 0.7098
0.3055 0.2311 0.9957
0.1217 0.2456 0.6455
0.8783 0.7544 0.1455
0.2971 0.9197 0.7902
0.1217 0.7544 0.3545
0.8240 0.0049 0.1701
0.2466 0.6068 0.8940
0.0088 0.6930 0.6140
0.8783 0.2456 0.8545
0.4332 0.2018 0.5371
0.4962 0.6664 0.9193
0.0558 0.5662 0.1274
0.2728 0.1817 0.7593
0.2466 0.3932 0.1060
0.7710 0.7355 0.8030
0.2450 0.2766 0.4471
0.2728 0.8183 0.2407
0.4332 0.7982 0.4629
0.7958 0.4991 0.1342
0.7272 0.1817 0.7407
0.1760 0.0049 0.3299
0.5038 0.3336 0.4193
0.2042 0.5009 0.6342
0.6945 0.7689 0.4957
0.7029 0.0803 0.2902
```

---

A relaxed IrW2Au crystal. Source: the Alexandria database, functional PBE-GGA.

Properties
SG: P4/mmm, No. 123
Energy above the most stable polymorph in this dataset: 331 meV per atom

Structure (POSCAR):
```
IrW2Au
1.0
-2.6216 -2.9269 -2.8118
3.9174 -2.7003 -0.8416
-0.6124 -1.5785 2.2141
Au Ir W
1 1 2
Direct
0.5000 0.0000 0.5000
0.0000 0.5000 0.5000
0.0000 0.0000 0.0000
0.5000 0.5000 0.0000
```

---

A relaxed AlTlGaH2 crystal. Source: the Alexandria database, functional PBE-GGA.

Properties
SG: P4/mmm, No. 123

Structure (POSCAR):
```
AlTlGaH2
1.0
3.8647 0.0000 0.0000
0.0000 5.7566 0.0000
0.0000 0.0000 3.8647
H Tl Al Ga
2 1 1 1
Direct
0.0000 0.0000 0.5000
0.5000 0.0000 0.0000
0.0000 0.5000 0.0000
0.0000 0.0000 0.0000
0.5000 0.5000 0.5000
```

---

A relaxed V4HN2 crystal. Source: the Alexandria database, functional PBE-GGA.

Properties
SG: I4/mmm, No. 139

Structure (POSCAR):
```
V4HN2
1.0
3.5623 0.0000 0.0000
0.0000 3.5623 0.0000
1.7812 1.7812 5.1978
H N V
1 2 4
Direct
0.0000 0.0000 0.0000
0.3713 0.3713 0.2575
0.6287 0.6287 0.7425
0.1834 0.1834 0.6332
0.8166 0.8166 0.3668
0.0000 0.5000 0.0000
0.5000 0.0000 0.0000
```

---

Calculated density (g cm⁻³), listed in the same order as above: 7.7 8.3 5.8 7.8 2.2 19.3 5.9 5.9
Calculated E_tot (eV per atom), listed in the same order as above: -5.876 -4.541 -5.008 -5.597 -7.859 -9.079 -2.800 -8.119